Entry 1:
AgTeO4: optimized geometry, PBE-GGA.

Properties
The value obtained for the total DFT energy (no corrections) is -4.85 eV per atom. The total magnetization comes out at 0.00 Bohr magnetons per cell.

abc: 5.0553 5.5543 6.4774
angles: 94.72 112.97 90.00
With the nearest neighbours (Å) after each atom.
Element x y z (fractional)
O1 0.8564 0.7162 0.5979  2 Te 1.98-2.02
O2 0.2585 0.7838 0.4021  2 Te 1.98-2.02
O3 0.2684 0.0424 0.8078  1 Te 1.92, 1 Ag 2.10
O4 0.7415 0.2162 0.5979  2 Te 1.98-2.02
O5 0.5393 0.5424 0.8078  1 Te 1.92, 1 Ag 2.10
O6 0.4607 0.4576 0.1922  1 Te 1.92, 1 Ag 2.10
O7 0.1436 0.2838 0.4021  2 Te 1.98-2.02
O8 0.7316 0.9576 0.1922  1 Te 1.92, 1 Ag 2.10
Ag1 0.7051 0.2500 0.0000  4 O 2.10-2.32
Ag2 0.2949 0.7500 0.0000  4 O 2.10-2.32
Te1 0.0000 0.0000 0.5000  6 O 1.92-2.02
Te2 0.5000 0.5000 0.5000  6 O 1.92-2.02



Entry 2:
Ag2Te2O7: optimized geometry, PBE-GGA.

Properties
Its relative energy among the computed polymorphs is 0 meV/atom. The total magnetization comes out at 0.00 Bohr magnetons per cell.

abc: 7.4549 7.4549 7.4549
angles: 120.34 118.21 91.27
With the nearest neighbours (Å) after each atom.
Element x y z (fractional)
O1 0.5498 0.4163 0.7263  2 Te 1.96-2.03
O2 0.1371 0.9154 0.2216  1 Te 1.91
O3 0.4502 0.5837 0.2737  2 Te 1.96-2.03
O4 0.8629 0.0846 0.7784  1 Te 1.91
O5 0.8100 0.0837 0.1335  2 Te 1.96-2.03
O6 0.4083 0.7500 0.6583  2 Te 1.98
O7 0.5917 0.2500 0.3417  2 Te 1.98
O8 0.8100 0.6765 0.7263  2 Te 1.96-2.03
O9 0.8062 0.5846 0.2216  1 Te 1.91
O10 0.1938 0.4154 0.7784  1 Te 1.91
O11 0.1900 0.9163 0.8665  2 Te 1.96-2.03
O12 0.5498 0.8235 0.1335  2 Te 1.96-2.03
O13 0.4502 0.1765 0.8665  2 Te 1.96-2.03
O14 0.1900 0.3235 0.2737  2 Te 1.96-2.03
Te1 0.0000 0.0000 0.0000  6 O 1.91-2.03
Te2 0.5000 0.5000 0.5000  6 O 1.96-1.98
Te3 0.5000 0.0000 0.0000  6 O 1.96-1.98
Te4 0.5000 0.5000 0.0000  6 O 1.91-2.03
Ag1 0.0000 0.5000 0.5000  2 O 2.31
Ag2 0.5000 0.0000 0.5000  2 O 2.31
Ag3 0.0000 0.0000 0.5000  8 O 2.54-2.82
Ag4 0.0000 0.5000 0.0000  8 O 2.54-2.82



Entry 3:
AgTe3O: optimized geometry, PBE-GGA.

Properties
Its relative energy among the computed polymorphs is 883 meV/atom. The total magnetization comes out at 0.00 Bohr magnetons per cell.

abc: 5.3459 5.3459 5.3459
angles: 90.00 90.00 90.00
With the nearest neighbours (Å) after each atom.
Element x y z (fractional)
Te1 0.0000 0.0000 0.5000  2 Ag 2.67
Te2 0.0000 0.5000 0.0000  2 Ag 2.67
Te3 0.5000 0.0000 0.0000  2 Ag 2.67
O1 0.5000 0.5000 0.5000  12 Te 3.78
Ag1 0.0000 0.0000 0.0000  6 Te 2.67



Entry 4:
Ag3TeO: optimized geometry, PBE-GGA.

Properties
Its relative energy among the computed polymorphs is 653 meV/atom. The total magnetization comes out at 1.00 Bohr magnetons per cell.

abc: 5.2941 5.2941 5.2941
angles: 90.00 90.00 90.00
With the nearest neighbours (Å) after each atom.
Element x y z (fractional)
Ag1 0.0000 0.0000 0.5000  2 Te 2.65
Ag2 0.0000 0.5000 0.0000  2 Te 2.65
Ag3 0.5000 0.0000 0.0000  2 Te 2.65
O1 0.5000 0.5000 0.5000  12 Ag 3.74
Te1 0.0000 0.0000 0.0000  6 Ag 2.65



Entry 5:
ThAgTe2O8: optimized geometry, PBE-GGA.

Properties
The value obtained for the total DFT energy (no corrections) is -6.01 eV per atom. The total magnetization comes out at 0.00 Bohr magnetons per cell.

abc: 6.1923 6.1923 6.8894
angles: 90.00 90.00 120.00
With the nearest neighbours (Å) after each atom.
Element x y z (fractional)
Te1 0.6667 0.3333 0.3073  4 O 1.82-1.91
Te2 0.3333 0.6667 0.6927  4 O 1.82-1.91
O1 0.8340 0.6680 0.2114  1 Te 1.91
O2 0.8340 0.1660 0.2114  1 Te 1.91
O3 0.6667 0.3333 0.5716  1 Te 1.82
O4 0.3333 0.6667 0.4284  1 Te 1.82
O5 0.6680 0.8340 0.7886  1 Te 1.91
O6 0.1660 0.3320 0.7886  1 Te 1.91
O7 0.1660 0.8340 0.7886  1 Te 1.91
O8 0.3320 0.1660 0.2114  1 Te 1.91
Ag1 0.0000 0.0000 0.5000  6 O 2.67
Th1 0.0000 0.0000 0.0000  6 O 2.30



Entry 6:
Ti2AgTeO8: optimized geometry, PBE-GGA.

Properties
The value obtained for the total DFT energy (no corrections) is -6.87 eV per atom. The total magnetization comes out at 0.00 Bohr magnetons per cell.

abc: 4.6830 4.6816 6.3547
angles: 90.00 90.01 89.42
With the nearest neighbours (Å) after each atom.
Element x y z (fractional)
Ti1 0.4998 0.4998 0.2597  6 O 1.93-2.14
Ti2 0.5002 0.5002 0.7403  6 O 1.93-2.14
Te1 0.0000 0.0000 0.0000  6 O 1.95-1.96
O1 0.7939 0.2066 0.7810  1 Te 1.95, 1 Ti 1.95
O2 0.6766 0.6769 0.5000  2 Ti 1.93, 1 Ag 2.15
O3 0.2061 0.7934 0.2190  1 Te 1.95, 1 Ti 1.95
O4 0.7047 0.7051 0.9999  1 Te 1.96, 2 Ti 2.14
O5 0.7939 0.2066 0.2191  1 Te 1.95, 1 Ti 1.95
O6 0.2061 0.7934 0.7809  1 Te 1.95, 1 Ti 1.95
O7 0.3234 0.3231 0.5000  2 Ti 1.93, 1 Ag 2.15
O8 0.2953 0.2949 0.0001  1 Te 1.96, 2 Ti 2.14
Ag1 0.0000 0.0000 0.5000  6 O 2.15-2.24



Entry 7:
TiAgTeO5: optimized geometry, PBE-GGA.

Properties
The value obtained for the total DFT energy (no corrections) is -6.26 eV per atom. The total magnetization comes out at 0.00 Bohr magnetons per cell.

abc: 5.6241 5.6241 8.1609
angles: 109.16 109.16 94.81
With the nearest neighbours (Å) after each atom.
Element x y z (fractional)
O1 0.1932 0.7214 0.9689  1 Ti 1.98, 1 Te 2.03, 1 Ag 2.19
O2 0.8068 0.2786 0.0311  1 Ti 1.98, 1 Te 2.03, 1 Ag 2.19
O3 0.6637 0.7415 0.8637  1 Te 1.91, 1 Ti 2.01
O4 0.3363 0.2585 0.1363  1 Te 1.91, 1 Ti 2.01
O5 0.7214 0.1932 0.4689  1 Ti 1.98, 1 Te 2.03, 1 Ag 2.19
O6 0.7415 0.6637 0.3637  1 Te 1.91, 1 Ti 2.01
O7 0.2786 0.8068 0.5311  1 Ti 1.98, 1 Te 2.03, 1 Ag 2.19
O8 0.0178 0.9822 0.7500  2 Ti 2.05
O9 0.9822 0.0178 0.2500  2 Ti 2.05
O10 0.2585 0.3363 0.6363  1 Te 1.91, 1 Ti 2.01
Ag1 0.2851 0.7149 0.2500  2 O 2.19
Ag2 0.7149 0.2851 0.7500  2 O 2.19
Te1 0.7010 0.2990 0.2500  4 O 1.91-2.03
Te2 0.2990 0.7010 0.7500  4 O 1.91-2.03
Ti1 0.0000 0.0000 0.0000  6 O 1.98-2.05
Ti2 0.0000 0.0000 0.5000  6 O 1.98-2.05



Entry 8:
TiAgTe2O8: optimized geometry, PBE-GGA.

Properties
The value obtained for the total DFT energy (no corrections) is -5.93 eV per atom. The total magnetization comes out at 0.00 Bohr magnetons per cell.

abc: 4.8224 4.8225 6.5729
angles: 90.00 90.00 87.61
With the nearest neighbours (Å) after each atom.
Element x y z (fractional)
O1 0.7978 0.2024 0.2156  1 Ti 1.96, 1 Te 2.00
O2 0.2022 0.7976 0.7844  1 Ti 1.96, 1 Te 2.00
O3 0.6789 0.6789 0.5000  2 Te 2.08, 1 Ag 2.24
O4 0.2022 0.7976 0.2156  1 Ti 1.96, 1 Te 2.00
O5 0.3023 0.3022 0.0000  1 Ti 2.10, 2 Te 2.12
O6 0.6977 0.6978 0.0000  1 Ti 2.10, 2 Te 2.12
O7 0.7978 0.2024 0.7844  1 Ti 1.96, 1 Te 2.00
O8 0.3211 0.3211 0.5000  2 Te 2.08, 1 Ag 2.24
Te1 0.5000 0.5000 0.2458  6 O 2.00-2.12
Te2 0.5000 0.5000 0.7542  6 O 2.00-2.12
Ag1 0.0000 0.0000 0.5000  6 O 2.24-2.31
Ti1 0.0000 0.0000 0.0000  6 O 1.96-2.10



Entry 9:
TlAg2TeO: optimized geometry, PBE-GGA.

Properties
The value obtained for the total DFT energy (no corrections) is -2.83 eV per atom. The total magnetization comes out at 0.00 Bohr magnetons per cell.

abc: 5.5596 4.1216 5.5596
angles: 90.00 90.00 90.00
With the nearest neighbours (Å) after each atom.
Element x y z (fractional)
Te1 0.5000 0.5000 0.5000  8 Ag 3.46
Ag1 0.0000 0.0000 0.5000  2 Tl 2.78
Ag2 0.5000 0.0000 0.0000  2 Tl 2.78
O1 0.0000 0.5000 0.0000  2 Tl 2.06
Tl1 0.0000 0.0000 0.0000  2 O 2.06



Entry 10:
TlAgTeO3: optimized geometry, PBE-GGA.

Properties
The value obtained for the total DFT energy (no corrections) is -4.61 eV per atom. The total magnetization comes out at 0.00 Bohr magnetons per cell.

abc: 9.9903 9.9903 9.9903
angles: 149.06 109.58 78.89
With the nearest neighbours (Å) after each atom.
Element x y z (fractional)
Ag1 0.3669 0.2690 0.1217  4 O 2.32-2.51
Ag2 0.1473 0.7690 0.4021  4 O 2.32-2.51
Ag3 0.8527 0.2547 0.6217  4 O 2.32-2.51
Ag4 0.6331 0.7547 0.9021  4 O 2.32-2.51
Te1 0.2479 0.6331 0.6605  3 O 1.90-1.91
Te2 0.7521 0.4126 0.3852  3 O 1.90-1.91
Te3 0.9726 0.1331 0.8852  3 O 1.90-1.91
Te4 0.0274 0.9126 0.1605  3 O 1.90-1.91
O1 0.9594 0.4884 0.2278  1 Te 1.90
O2 0.3341 0.7059 0.5801  1 Te 1.90
O3 0.7394 0.7684 0.7278  1 Te 1.90
O4 0.2606 0.9884 0.0290  1 Te 1.90
O5 0.6659 0.2460 0.3717  1 Te 1.90
O6 0.5903 0.3360 0.1469  1 Te 1.91
O7 0.8742 0.7460 0.0801  1 Te 1.90
O8 0.4097 0.5566 0.7458  1 Te 1.91
O9 0.1258 0.2059 0.8717  1 Te 1.90
O10 0.0406 0.2684 0.5290  1 Te 1.90
O11 0.8108 0.0566 0.6469  1 Te 1.91
O12 0.1892 0.8360 0.2458  1 Te 1.91
Tl1 0.5289 0.8932 0.6157  3 O 2.59-2.69
Tl2 0.4711 0.0868 0.3644  3 O 2.59-2.69
Tl3 0.2776 0.3932 0.8644  3 O 2.59-2.69
Tl4 0.7224 0.5868 0.1157  3 O 2.59-2.69



Entry 11:
Tl2Ag2TeO6: optimized geometry, PBE-GGA.

Properties
The value obtained for the total DFT energy (no corrections) is -4.42 eV per atom. The total magnetization comes out at 2.00 Bohr magnetons per cell.

abc: 6.3312 6.3312 6.6115
angles: 61.39 61.39 60.00
With the nearest neighbours (Å) after each atom.
Element x y z (fractional)
O1 0.7859 0.7859 0.2234  1 Te 1.96, 1 Ag 2.15
O2 0.2048 0.7859 0.2234  1 Te 1.96, 1 Ag 2.15
O3 0.7859 0.2048 0.2234  1 Te 1.96, 1 Ag 2.15
O4 0.2141 0.2141 0.7766  1 Te 1.96, 1 Ag 2.15
O5 0.2141 0.7952 0.7766  1 Te 1.96, 1 Ag 2.15
O6 0.7952 0.2141 0.7766  1 Te 1.96, 1 Ag 2.15
Te1 0.0000 0.0000 0.0000  6 O 1.96
Ag1 0.6113 0.6113 0.1662  3 O 2.15
Ag2 0.3887 0.3887 0.8338  3 O 2.15
Tl1 0.2063 0.2063 0.3812  3 O 2.66
Tl2 0.7937 0.7937 0.6188  3 O 2.66



Entry 12:
Tl3AgTe2O8: optimized geometry, PBE-GGA.

Properties
The value obtained for the total DFT energy (no corrections) is -4.73 eV per atom. The total magnetization comes out at 0.00 Bohr magnetons per cell.

abc: 6.2669 6.2669 7.9701
angles: 90.00 90.00 120.00
With the nearest neighbours (Å) after each atom.
Element x y z (fractional)
O1 0.3333 0.6667 0.9836  1 Te 1.85
O2 0.6667 0.3333 0.0164  1 Te 1.85
O3 0.3450 0.1725 0.7039  1 Te 1.86
O4 0.8275 0.6550 0.7039  1 Te 1.86
O5 0.1725 0.3450 0.2961  1 Te 1.86
O6 0.1725 0.8275 0.2961  1 Te 1.86
O7 0.6550 0.8275 0.2961  1 Te 1.86
O8 0.8275 0.1725 0.7039  1 Te 1.86
Ag1 0.0000 0.0000 0.5000  6 O 2.48
Te1 0.3333 0.6667 0.2151  4 O 1.85-1.86
Te2 0.6667 0.3333 0.7849  4 O 1.85-1.86
Tl1 0.3333 0.6667 0.6688  1 O 2.51
Tl2 0.0000 0.0000 0.0000  6 O 3.01
Tl3 0.6667 0.3333 0.3312  1 O 2.51